Below is a relaxed structure of Hf4In5Pt2, with properties calculated at the GGA-PBE level.

The space group is P2/m (No. 10) and the conventional cell measures 7.6270, 3.3204 and 9.3294 Å, with angles of 90.00, 93.81 and 90.00 degrees. The asymmetric unit holds Hf at (0.1957, 0.0000, 0.3555), Hf at (0.2169, 0.0000, 0.9316), In at (0.1535, 0.5000, 0.6358), In at (0.4669, 0.5000, 0.1699), In at (0.5000, 0.5000, 0.5000) and Pt at (0.0816, 0.5000, 0.1365).

Below is a relaxed structure of YHo3P4, with properties calculated at the GGA-PBE level.

The space group is Cmmm (No. 65) and the conventional cell measures 7.9871, 11.2928 and 3.9954 Å, with angles of 90.00, 90.00 and 90.00 degrees. The asymmetric unit holds Y at (0.0000, 0.0000, 0.0000), Ho at (0.0000, 0.5000, 0.0000), Ho at (0.2500, 0.2500, 0.5000), P at (0.0000, 0.2506, 0.0000) and P at (0.2487, 0.5000, 0.5000).

Below is a relaxed structure of K4Rb5Pb2, with properties calculated at the GGA-PBE level.

The space group is Immm (No. 71) and the conventional cell measures 4.1736, 16.9885 and 21.4888 Å, with angles of 90.00, 90.00 and 90.00 degrees. The asymmetric unit holds K at (0.0000, 0.0000, 0.1826), K at (0.0000, 0.3802, 0.5000), Rb at (0.0000, 0.2123, 0.3485), Rb at (0.0000, 0.5000, 0.0000) and Pb at (0.0000, 0.0000, 0.3463).

Below is a relaxed structure of Mg2TlRuAu, with properties calculated at the GGA-PBE level.

The space group is P4/mmm (No. 123) and the conventional cell measures 5.1915, 5.1915 and 5.1140 Å, with angles of 90.00, 90.00 and 90.00 degrees. The asymmetric unit holds Mg at (0.0000, 0.5000, 0.0000), Tl at (0.0000, 0.0000, 0.0000), Ru at (0.5000, 0.5000, 0.5000) and Au at (0.0000, 0.0000, 0.5000).

Below is a relaxed structure of Mn2CoIr, with properties calculated at the GGA-PBE level.

The space group is Cm (No. 8) and the conventional cell measures 8.4272, 2.5969 and 4.4380 Å, with angles of 90.00, 100.77 and 90.00 degrees. The asymmetric unit holds Mn at (0.0000, 0.0000, 0.0000), Mn at (0.2484, 0.5000, 0.2600), Co at (0.2530, 0.0000, 0.7798) and Ir at (0.0000, 0.5000, 0.5053).

Below is a relaxed structure of HoErMgZr, with properties calculated at the GGA-PBE level.

The space group is F-43m (No. 216) and the conventional cell measures 7.5287, 7.5287 and 7.5287 Å, with angles of 90.00, 90.00 and 90.00 degrees. The asymmetric unit holds Ho at (0.0000, 0.0000, 0.0000), Er at (0.0000, 0.0000, 0.5000), Mg at (0.2500, 0.2500, 0.2500) and Zr at (0.2500, 0.2500, 0.7500).

no.,formation energy (eV per formula unit)
1,-5.20
2,-12.95
3,1.27
4,6.04
5,0.04
6,0.52